[1]
First-principles (PBE-GGA) data for an optimized crystal structure of AcMgPt, as listed in OQMD.

```
AcMgPt
1.0
-3.3476 2.8608 2.6083
-3.0859 3.2365 -2.4892
-5.0114 -0.9853 -0.3299
Mg Ac Pt
1 1 1
Direct
0.2500 0.2500 0.2500 Mg
0.0000 0.0000 0.0000 Ac
0.7500 0.7500 0.7500 Pt
```

Uncorrected energy = -3.8778 eV per atom
Theoretical density = 7.8 g/cm³

***

[2]
First-principles (PBE-GGA) data for an optimized crystal structure of Ac3MgPt8, as listed in OQMD.

```
Ac3MgPt8
1.0
2.7905 1.6111 9.0897
-2.7905 1.6111 9.0897
0.0000 -3.2222 9.0897
Pt Ac Mg
8 3 1
Direct
0.9390 0.4410 0.9390 Pt
0.4367 0.9393 0.4367 Pt
0.9390 0.9390 0.4410 Pt
0.4367 0.4367 0.9393 Pt
0.9393 0.4367 0.4367 Pt
0.6886 0.6886 0.6886 Pt
0.4410 0.9390 0.9390 Pt
0.1891 0.1891 0.1891 Pt
0.5057 0.5057 0.5057 Ac
0.9923 0.9923 0.9923 Ac
0.3773 0.3773 0.3773 Ac
0.8654 0.8654 0.8654 Mg
```

Uncorrected energy = -6.1401 eV per atom
Theoretical density = 15.3 g/cm³

***

[3]
First-principles (PBE-GGA) data for an optimized crystal structure of AcPuMg, as listed in OQMD.

```
AcPuMg
1.0
-2.7889 3.9436 2.3820
-1.1768 4.4924 -2.7272
-5.0781 0.9898 -1.4960
Mg Ac Pu
1 1 1
Direct
0.2500 0.2500 0.2500 Mg
0.0000 0.0000 0.0000 Ac
0.7500 0.7500 0.7500 Pu
```

Uncorrected energy = -5.8256 eV per atom
Theoretical density = 7.4 g/cm³

***

Repeat the second record exactly.
First-principles (PBE-GGA) data for an optimized crystal structure of Ac3MgPt8, as listed in OQMD.

```
Ac3MgPt8
1.0
2.7905 1.6111 9.0897
-2.7905 1.6111 9.0897
0.0000 -3.2222 9.0897
Pt Ac Mg
8 3 1
Direct
0.9390 0.4410 0.9390 Pt
0.4367 0.9393 0.4367 Pt
0.9390 0.9390 0.4410 Pt
0.4367 0.4367 0.9393 Pt
0.9393 0.4367 0.4367 Pt
0.6886 0.6886 0.6886 Pt
0.4410 0.9390 0.9390 Pt
0.1891 0.1891 0.1891 Pt
0.5057 0.5057 0.5057 Ac
0.9923 0.9923 0.9923 Ac
0.3773 0.3773 0.3773 Ac
0.8654 0.8654 0.8654 Mg
```

Uncorrected energy = -6.1401 eV per atom
Theoretical density = 15.3 g/cm³

***

Q: theoretical density of number 1 (AcMgPt)?
A: 7.8 g/cm³